A plane-wave DFT calculation with GGA-PBEsol was carried out for a relaxed HfAg3Rh crystal.

The calculation puts the calculated volume at 22.1 A^3/atom. Its crystal system is cubic. Its total energy is -4.46 eV/atom. The density of states at the Fermi level is 6.83 states/eV/cell. The value obtained for the formation energy is 1253 meV per atom. The calculation puts the total moment at 0.08 μB/f.u.

The structure belongs to space group Pm-3m (No. 221); the cell edges are 4.7995, 4.7995 and 4.7995 Å and the angles 90.00°, 90.00° and 90.00°. The asymmetric unit holds Hf at (0.0000, 0.0000, 0.0000), Ag at (0.0000, 0.5000, 0.5000) and Rh at (0.5000, 0.5000, 0.5000).



A plane-wave DFT calculation with GGA-PBEsol was carried out for a relaxed HfAgRu3 crystal.

The calculation puts the calculated volume at 19.8 A^3/atom. Its crystal system is cubic. Its total energy is -6.85 eV/atom. The density of states at the Fermi level is 10.29 states/eV/cell. The value obtained for the formation energy is 2020 meV per atom. The calculation puts the total moment at 2.97 μB/f.u.

The structure belongs to space group Pm-3m (No. 221); the cell edges are 4.6235, 4.6235 and 4.6235 Å and the angles 90.00°, 90.00° and 90.00°. The asymmetric unit holds Hf at (0.0000, 0.0000, 0.0000), Ag at (0.5000, 0.5000, 0.5000) and Ru at (0.0000, 0.5000, 0.5000).



A plane-wave DFT calculation with GGA-PBEsol was carried out for a relaxed HfAgSb2 crystal.

Its energy relative to the elements, uncorrected is 0.08 eV per atom. The calculation puts the calculated volume at 23.2 A^3/atom. Its crystal system is tetragonal. Its total energy is -5.65 eV/atom. The density of states at the Fermi level is 9.26 states/eV/cell. The calculation puts the total moment at 0.00 μB/f.u.

The structure belongs to space group I-42d (No. 122); the cell edges are 7.7150, 7.7150 and 6.2292 Å and the angles 90.00°, 90.00° and 90.00°. The asymmetric unit holds Hf at (0.0000, 0.0000, 0.0000), Ag at (0.0000, 0.0000, 0.5000) and Sb at (0.2372, 0.7500, 0.6250).



A plane-wave DFT calculation with GGA-PBEsol was carried out for a relaxed HfAgSb2 crystal.

Its energy relative to the elements, uncorrected is 0.02 eV per atom. The calculation puts the calculated volume at 21.9 A^3/atom. Its crystal system is cubic. Its total energy is -5.71 eV/atom. The density of states at the Fermi level is 8.10 states/eV/cell. The calculation puts the total moment at 0.00 μB/f.u.

The structure belongs to space group Fm-3m (No. 225); the cell edges are 7.0468, 7.0468 and 7.0468 Å and the angles 90.00°, 90.00° and 90.00°. The asymmetric unit holds Hf at (0.0000, 0.0000, 0.0000), Ag at (0.0000, 0.0000, 0.5000) and Sb at (0.2500, 0.2500, 0.2500).



A plane-wave DFT calculation with GGA-PBEsol was carried out for a relaxed HfSc2AgSb crystal.

Its energy relative to the elements, uncorrected is 0.85 eV per atom. The calculation puts the calculated volume at 26.2 A^3/atom. Its crystal system is tetragonal. Its total energy is -5.47 eV/atom. The density of states at the Fermi level is 6.49 states/eV/cell. The calculation puts the total moment at 0.00 μB/f.u.

The structure belongs to space group P4/mmm (No. 123); the cell edges are 5.1254, 5.1254 and 4.9922 Å and the angles 90.00°, 90.00° and 90.00°. The asymmetric unit holds Hf at (0.0000, 0.0000, 0.0000), Sc at (0.0000, 0.5000, 0.0000), Ag at (0.0000, 0.0000, 0.5000) and Sb at (0.5000, 0.5000, 0.5000).



A plane-wave DFT calculation with GGA-PBEsol was carried out for a relaxed Hf3AgSe crystal.

Its energy relative to the elements, uncorrected is 0.94 eV per atom. The calculation puts the calculated volume at 25.2 A^3/atom. Its crystal system is cubic. Its total energy is -6.80 eV/atom. The density of states at the Fermi level is 6.94 states/eV/cell. The calculation puts the total moment at 0.00 μB/f.u.

The structure belongs to space group Pm-3m (No. 221); the cell edges are 5.0137, 5.0137 and 5.0137 Å and the angles 90.00°, 90.00° and 90.00°. The asymmetric unit holds Hf at (0.0000, 0.0000, 0.5000), Ag at (0.0000, 0.0000, 0.0000) and Se at (0.5000, 0.5000, 0.5000).